Entry 1:
A plane-wave DFT calculation with PBE was carried out for a relaxed CaP2Ir4 crystal.

The total magnetization is 0.0 μB/f.u. Its formation energy is -3.93 eV/f.u.

It has space group P4_2/mnm (No. 136), with a = 7.635 Å, b = 7.635 Å, c = 3.753 Å, α = 90.00°, β = 90.00° and γ = 90.00°. The asymmetric unit holds Ca at (0.000, 0.000, 0.000), P at (0.234, 0.234, 0.500) and Ir at (0.072, 0.672, 0.500).

Entry 2:
A plane-wave DFT calculation with PBE was carried out for a relaxed POsIO2 crystal.

The energy above the lowest structure with this stoichiometry comes out at 837 meV per atom. The total magnetization is 1.6 μB/f.u. The formation energy (no corrections) is 0.589 eV/atom.

It has space group P4/mmm (No. 123), with a = 3.633 Å, b = 3.633 Å, c = 6.370 Å, α = 90.00°, β = 90.00° and γ = 90.00°. The asymmetric unit holds P at (0.000, 0.000, 0.000), Os at (0.500, 0.500, 0.500), I at (0.000, 0.000, 0.500) and O at (0.000, 0.500, 0.000).

Entry 3:
A plane-wave DFT calculation with PBE was carried out for a relaxed CoSbMo2 crystal.

The total magnetization is 0.0 μB/f.u. The formation energy (no corrections) is 0.177 eV/atom.

It has space group Immm (No. 71), with a = 3.789 Å, b = 3.813 Å, c = 8.597 Å, α = 90.00°, β = 90.00° and γ = 90.00°. The asymmetric unit holds Co at (0.000, 0.000, 0.000), Sb at (0.000, 0.000, 0.500) and Mo at (0.000, 0.500, 0.250).

Entry 4:
A plane-wave DFT calculation with PBE was carried out for a relaxed KNa3Ce2S6 crystal.

The total magnetization is 0.0 μB/f.u. The formation energy (no corrections) is -1.511 eV/atom.

It has space group C2/m (No. 12), with a = 17.682 Å, b = 4.151 Å, c = 8.372 Å, α = 90.00°, β = 101.28° and γ = 90.00°. The asymmetric unit holds K at (0.000, 0.000, 0.000), Na at (0.000, 0.000, 0.500), Na at (0.158, 0.500, 0.830), Ce at (0.164, 0.500, 0.330), S at (0.015, 0.500, 0.277), S at (0.174, 0.000, 0.563) and S at (0.177, 0.000, 0.121).